Material: Te2IrAu
Method: DFT, PBE-GGA
State: optimized geometry

Calculated values
For the total magnetic moment, the calculation gives 0.0 μB/cell. The calculation puts the volume at 26.89 Å³/atom. The value obtained for the raw formation energy is 0.14 eV per atom.

Unit cell a=5.031 b=3.981 c=5.418 alpha=90.00 beta=97.63 gamma=90.00
Space group P2/m (No. 10)
Inequivalent atoms, fractional coordinates:
Te1 0.205 0.000 0.307 (multiplicity 2)
Ir1 0.500 0.500 0.500 (multiplicity 1)
Au1 0.500 0.500 0.000 (multiplicity 1)